Entry a
# Al3Zn2Cu8

A relaxed Al3Zn2Cu8 crystal (PBE, the Alexandria database).

POSCAR file:
```
Al3Zn2Cu8
1.0
4.813 0.000 0.000
2.407 4.168 0.000
2.407 1.389 9.057
Al Cu Zn
3 8 2
Direct
0.185 0.185 0.446
0.815 0.815 0.554
0.000 0.000 0.000
0.274 0.274 0.179
0.726 0.726 0.821
0.272 0.272 0.682
0.227 0.728 0.318
0.272 0.773 0.682
0.773 0.272 0.682
0.728 0.728 0.318
0.728 0.227 0.318
0.362 0.362 0.914
0.638 0.638 0.086
```

Properties
ρ: 6.58 g cm⁻³

---

Entry b
# Al3Zn2Cu8

A relaxed Al3Zn2Cu8 crystal (PBE, the Alexandria database).

POSCAR file:
```
Al3Zn2Cu8
1.0
-0.880 3.433 -1.916
-4.191 -4.198 -5.597
-2.791 2.578 5.902
Zn Cu Al
2 8 3
Direct
0.500 0.261 0.512
0.500 0.739 0.488
0.000 0.387 0.761
0.500 0.621 0.748
0.500 0.886 0.267
0.500 0.379 0.252
0.500 0.114 0.733
0.000 0.613 0.239
0.000 0.867 0.726
0.000 0.133 0.274
0.000 0.754 0.004
0.000 0.246 0.996
0.500 0.000 0.000
```

Properties
ρ: 6.27 g cm⁻³

---

Relative to the most stable structure, the computed energies are entry a 0.000; entry b 0.090, all in eV/atom.

---

Entry a
# AlZn2Cu3

A relaxed AlZn2Cu3 crystal (PBE, the Alexandria database).

POSCAR file:
```
AlZn2Cu3
1.0
3.231 0.000 0.000
0.000 3.805 -1.287
0.000 0.042 6.394
Cu Zn Al
3 2 1
Direct
0.500 0.835 0.671
0.500 0.500 0.000
0.500 0.165 0.329
0.000 0.668 0.336
0.000 0.332 0.664
0.000 0.000 0.000
```

Properties
ρ: 7.34 g cm⁻³

---

Entry b
# AlZn2Cu3

A relaxed AlZn2Cu3 crystal (PBE, the Alexandria database).

POSCAR file:
```
AlZn2Cu3
1.0
-2.274 1.358 0.065
-1.942 -2.994 -5.407
-3.189 -8.197 5.684
Al Cu Zn
2 6 4
Direct
0.643 0.250 0.286
0.357 0.750 0.714
0.435 0.442 0.870
0.757 0.750 0.514
0.435 0.058 0.870
0.243 0.250 0.486
0.565 0.558 0.130
0.565 0.942 0.130
0.025 0.250 0.050
0.845 0.250 0.690
0.975 0.750 0.950
0.155 0.750 0.310
```

Properties
ρ: 6.49 g cm⁻³

---

Relative to the most stable structure, the computed energies are entry a 0.000; entry b 0.155, all in eV/atom.